Material: AgRu2Pb
Method: DFT, GGA-PBEsol
State: relaxed

The structure in POSCAR format:
```
AgRu2Pb
1.0
2.905 0.000 0.000
1.453 2.516 0.000
1.453 0.839 9.418
Ag Pb Ru
1 1 2
Cartesian
2.905 1.677 4.936
1.453 0.839 2.201
1.453 0.839 9.164
4.358 2.516 7.244
```

Space-group type: R3m
E in eV per atom: -6.35

---

Material: Be2TlP
Method: DFT, GGA-PBEsol
State: relaxed

The structure in POSCAR format:
```
Be2TlP
1.0
3.087 0.000 0.000
0.000 3.087 0.000
0.000 0.000 6.364
P Tl Be
1 1 2
Cartesian
1.544 1.544 0.000
1.544 1.544 3.182
0.000 0.000 5.350
0.000 0.000 1.015
```

Offset from the most stable computed form in meV/atom: 267
Space-group type: P4/mmm
E in eV per atom: -3.63

---

Material: Zr3SbH
Method: DFT, GGA-PBEsol
State: relaxed

The structure in POSCAR format:
```
Zr3SbH
1.0
-1.933 -2.889 -2.713
-1.953 -1.932 3.449
-3.449 2.714 -0.432
Sb Zr H
1 3 1
Cartesian
-3.667 -1.054 0.152
-0.976 -0.966 1.725
-1.724 1.357 -0.216
-0.967 -1.445 -1.356
0.000 0.000 0.000
```

Space-group type: Pm-3m
E in eV per atom: -7.59